(1)
CsAc2Cl7: relaxed, PBE.

Properties
Raw formation energy: -2.370 eV/atom
Symmetry: Cmmm, No. 65
Raw total energy: -4.569 eV per atom

Cell: 8.671 8.671 5.762 Å, 90.00 90.00 116.21°
Fractional positions:
Cs1 0.000 0.000 0.000
Ac1 0.303 0.697 0.500
Ac2 0.697 0.303 0.500
Cl1 0.050 0.327 0.500
Cl2 0.281 0.719 0.000
Cl3 0.327 0.050 0.500
Cl4 0.500 0.500 0.500
Cl5 0.673 0.950 0.500
Cl6 0.719 0.281 0.000
Cl7 0.950 0.673 0.500

***

(2)
Cs6AcCl8: relaxed, PBE.

Properties
Raw formation energy: -1.972 eV/atom
Symmetry: Fm-3m, No. 225
Raw total energy: -3.572 eV per atom

Cell: 10.172 10.172 10.172 Å, 60.00 60.00 60.00°
Fractional positions:
Cs1 0.000 0.000 0.500
Cs2 0.000 0.500 0.000
Cs3 0.000 0.500 0.500
Cs4 0.500 0.000 0.000
Cs5 0.500 0.000 0.500
Cs6 0.500 0.500 0.000
Ac1 0.000 0.000 0.000
Cl1 0.201 0.201 0.799
Cl2 0.201 0.799 0.201
Cl3 0.201 0.799 0.799
Cl4 0.250 0.250 0.250
Cl5 0.750 0.750 0.750
Cl6 0.799 0.201 0.201
Cl7 0.799 0.201 0.799
Cl8 0.799 0.799 0.201

***

(3)
Cs2AcCl4: relaxed, PBE.

Properties
Raw formation energy: -1.929 eV/atom
Symmetry: I4/mmm, No. 139
Raw total energy: -3.815 eV per atom

Cell: 9.849 9.849 9.849 Å, 145.19 145.19 50.05°
Fractional positions:
Cs1 0.144 0.144 0.000
Cs2 0.856 0.856 0.000
Ac1 0.500 0.500 0.000
Cl1 0.000 0.500 0.500
Cl2 0.339 0.339 0.000
Cl3 0.500 0.000 0.500
Cl4 0.661 0.661 0.000